6
Lattice="-3.755 0.787 4.009 -2.889 4.733 0.205 -5.411 0.004 -1.229" Properties=species:S:1:pos:R:3 comment="Mg4MnBe | Alexandria | PBE | optimized geometry" vol_a3_per_atom=20.13 delta_e_f_ev_per_atom=0.614 pbc="T T T"
Mg -6.398 2.465 3.122
Mg -7.225 2.074 0.505
Mg -5.965 4.436 1.222
Mg -4.522 2.072 1.120
Mn -9.041 4.143 2.238
Be 0.000 0.000 0.000